Sm2ZnCoO6 | PBE with a Hubbard U | relaxed

## Properties
As for the space group: P2_1/c, No. 14. The calculation puts the final energy at -6.800 eV/atom.

Cell lengths 5.372, 5.633, 9.335 Å; angles 90.00, 125.10, 90.00 degrees
Positions (direct):
Sm1 0.232 0.065 0.249
Sm2 0.232 0.435 0.749
Sm3 0.768 0.565 0.251
Sm4 0.768 0.935 0.751
Zn1 0.000 0.000 0.500
Zn2 0.000 0.500 0.000
Co1 0.500 0.000 0.000
Co2 0.500 0.500 0.500
O1 0.166 0.190 0.953
O2 0.166 0.310 0.453
O3 0.261 0.716 0.949
O4 0.261 0.784 0.449
O5 0.355 0.028 0.761
O6 0.355 0.472 0.261
O7 0.645 0.528 0.739
O8 0.645 0.972 0.239
O9 0.739 0.216 0.551
O10 0.739 0.284 0.051
O11 0.834 0.690 0.547
O12 0.834 0.810 0.047